## TbAl3Ag (PBE)

Data for a relaxed structure of TbAl3Ag.

Lattice parameters (Å, degrees): 5.774 6.388 6.388 120.00 90.00 90.00
Positions (direct):
Tb  0.750  0.667  0.333
Tb  0.250  0.333  0.667
Al  0.750  0.605  0.802
Al  0.250  0.802  0.605
Al  0.250  0.395  0.198
Al  0.750  0.198  0.395
Al  0.250  0.802  0.198
Al  0.750  0.198  0.802
Ag  0.000  0.000  0.000
Ag  0.500  0.000  0.000

Computed properties:
* E_tot: -3.9413 eV per atom
* D(E_F): 1.64 states/eV per cell

=====

## La2RhBr (PBE)

Data for a relaxed structure of La2RhBr.

Lattice parameters (Å, degrees): 7.713 7.713 6.916 56.11 56.11 90.00
Positions (direct):
Rh  0.000  0.000  0.000
Rh  0.750  0.250  0.500
Br  0.500  0.500  0.000
Br  0.250  0.750  0.500
La  0.667  0.125  0.250
La  0.083  0.625  0.250
La  0.375  0.333  0.750
La  0.875  0.917  0.750

Computed properties:
* E_tot: -5.5298 eV per atom
* D(E_F): 7.26 states/eV per cell

=====

## RbTiGe2 (PBE)

Data for a relaxed structure of RbTiGe2.

Lattice parameters (Å, degrees): 5.071 5.071 5.071 60.00 60.00 60.00
Each line ends with the local moment (μB).
Positions (direct):
Ge  0.250  0.250  0.250  0.00
Ge  0.750  0.750  0.750  0.00
Rb  0.500  0.500  0.500  0.00
Ti  0.000  0.000  0.000  -0.93

Computed properties:
* E_tot: -3.9569 eV per atom
* D(E_F): 2.47 states/eV per cell

=====

## Na4Pu3PbS8 (PBE)

Data for a relaxed structure of Na4Pu3PbS8.

Lattice parameters (Å, degrees): 8.181 8.118 8.181 120.27 120.00 90.00
Each line ends with the local moment (μB).
Positions (direct):
Na  0.500  0.000  0.000  0.00
Na  0.500  0.000  0.500  0.00
Na  0.000  0.000  0.000  0.00
Na  0.000  0.000  0.500  0.00
Pu  0.500  0.500  0.000  4.90
Pu  0.500  0.500  0.500  4.90
Pu  0.000  0.500  0.500  4.90
Pb  0.000  0.500  0.000  -0.01
S  0.252  0.728  0.976  -0.10
S  0.252  0.728  0.504  -0.10
S  0.258  0.275  0.517  -0.11
S  0.724  0.728  0.976  -0.10
S  0.276  0.272  0.024  -0.10
S  0.742  0.725  0.483  -0.11
S  0.748  0.272  0.496  -0.10
S  0.748  0.272  0.024  -0.10

Computed properties:
* E_tot: -6.6728 eV per atom
* D(E_F): 25.90 states/eV per cell

=====

## NpH3F7 (PBE)

Data for a relaxed structure of NpH3F7.

Lattice parameters (Å, degrees): 5.617 5.617 5.617 108.85 108.85 108.85
Each line ends with the local moment (μB).
Positions (direct):
Np  0.971  0.971  0.971  3.00
H  0.872  0.410  0.410  0.00
H  0.410  0.410  0.872  0.00
H  0.410  0.872  0.410  0.00
F  0.979  0.639  0.639  -0.01
F  0.218  0.218  0.782  0.00
F  0.782  0.218  0.218  0.00
F  0.639  0.639  0.979  -0.01
F  0.639  0.979  0.639  -0.01
F  0.331  0.331  0.331  0.00
F  0.218  0.782  0.218  0.00

Computed properties:
* E_tot: -5.6758 eV per atom
* D(E_F): 1.99 states/eV per cell

=====

## LiMgTa (PBE)

Data for a relaxed structure of LiMgTa.

Lattice parameters (Å, degrees): 7.783 7.783 4.490 90.00 90.00 156.12
Positions (direct):
Mg  0.165  0.835  0.000
Mg  0.835  0.165  0.000
Li  0.334  0.666  0.500
Li  0.666  0.334  0.500
Ta  0.500  0.500  0.000
Ta  0.000  0.000  0.500

Computed properties:
* E_tot: -4.8648 eV per atom
* D(E_F): 3.78 states/eV per cell

=====

## YPuPt (PBE)

Data for a relaxed structure of YPuPt.

Lattice parameters (Å, degrees): 4.875 4.875 4.875 60.00 60.00 60.00
Each line ends with the local moment (μB).
Positions (direct):
Y  0.000  0.000  0.000  0.23
Pt  0.250  0.250  0.250  -0.03
Pu  0.500  0.500  0.500  5.47

Computed properties:
* E_tot: -9.5261 eV per atom
* D(E_F): 7.92 states/eV per cell

=====

## Ac2SmSn (PBE)

Data for a relaxed structure of Ac2SmSn.

Lattice parameters (Å, degrees): 3.812 3.812 12.979 81.56 81.56 60.00
Positions (direct):
Ac  0.087  0.087  0.738
Ac  0.913  0.913  0.262
Sn  0.000  0.000  0.000
Sm  0.500  0.500  0.500

Computed properties:
* E_tot: -4.1025 eV per atom
* D(E_F): 4.67 states/eV per cell

=====

## KNaTi2 (PBE)

Data for a relaxed structure of KNaTi2.

Lattice parameters (Å, degrees): 5.493 5.493 5.493 60.00 60.00 60.00
Each line ends with the local moment (μB).
Positions (direct):
Na  0.000  0.000  0.000  0.00
K  0.500  0.500  0.500  0.06
Ti  0.250  0.250  0.250  1.79
Ti  0.750  0.750  0.750  1.79

Computed properties:
* E_tot: -3.1301 eV per atom
* D(E_F): 11.34 states/eV per cell